Density functional theory data (PBE-GGA) for crystalline TiBi3Rh at its relaxed geometry.

Results
D(E_F) = 5.5 states/eV/cell
Size of the total moment = 0.0 Bohr magnetons per cell
ΔE_f = 0.6390 eV/atom

Cell and atoms, written as CIF:
```
data_TiBi3Rh
_chemical_formula_sum 'Ti1 Bi3 Rh1'
_cell_length_a 5.271
_cell_length_b 5.271
_cell_length_c 5.271
_cell_angle_alpha 90.00
_cell_angle_beta 90.00
_cell_angle_gamma 90.00
_symmetry_space_group_name_H-M 'P m -3 m'
_symmetry_Int_Tables_number 221
_symmetry_space_group_name_Hall '-P 4 2 3'
loop_
_atom_site_label
_atom_site_type_symbol
_atom_site_fract_x
_atom_site_fract_y
_atom_site_fract_z
Ti1 Ti 0.000 0.000 0.000
Bi1 Bi 0.000 0.500 0.500
Rh1 Rh 0.500 0.500 0.500
```